The following is a DFT calculation (GGA-PBE) of LiHo2HfP4 after structural relaxation.

Structure (POSCAR):
```
LiHo2HfP4
1.0
6.586 0.000 0.000
0.000 3.856 0.000
-2.291 0.000 6.407
Li Ho Hf P
1 2 1 4
direct
0.000 0.000 0.000 Li
0.500 0.000 0.500 Ho
0.500 0.500 0.000 Ho
0.000 0.500 0.500 Hf
0.233 0.000 0.740 P
0.235 0.500 0.253 P
0.765 0.500 0.747 P
0.767 0.000 0.260 P
```

Summary:
crystal system = monoclinic
DOS at the Fermi energy = 3.80 states/eV/f.u.
ΔE_f = -1112 meV per atom